MnF | Alexandria via LeMat-Bulk | PBE+U | optimized geometry; total DFT energy (no corrections) = -74.5 eV per cell; space group = No. 59; energy above the lowest structure with this stoichiometry = 0.0 meV/atom
1.0
3.281 0.000 0.000
0.000 10.573 0.000
0.000 0.000 5.236
Mn F
6 6
Cartesian
0.820 0.517 1.114
0.820 4.769 1.114
0.820 7.930 0.936
2.460 2.643 4.300
2.460 5.804 4.122
2.460 10.056 4.122
0.820 2.643 0.587
0.820 6.428 2.709
0.820 9.431 2.709
2.460 1.142 2.527
2.460 4.145 2.527
2.460 7.930 4.649